1.
ReHg2Mo | GGA-PBE | optimized geometry

a = 2.9271 Å, b = 2.9271 Å, c = 28.8163 Å
α = 90.00°, β = 90.00°, γ = 120.00°
Space group R-3m (No. 166, hexagonal axes)
One atom of each set of equivalent atoms:
Re 0.0000 0.0000 0.0000 x3
Hg 0.0000 0.0000 0.2502 x6
Mo 0.0000 0.0000 0.5000 x3

Properties
energy of formation: 0.81 eV/atom
offset from the most stable computed form: 397 meV/atom

---

2.
Sm8In2Ni | GGA-PBE | optimized geometry

a = 18.9183 Å, b = 5.1609 Å, c = 6.8548 Å
α = 90.00°, β = 103.20°, γ = 90.00°
Space group C2/m (No. 12)
One atom of each set of equivalent atoms:
Sm 0.0145 0.0000 0.2783 x4
Sm 0.0909 0.5000 0.9592 x4
Sm 0.1442 0.5000 0.4805 x4
Sm 0.2097 0.0000 0.8031 x4
In 0.1849 0.0000 0.2512 x4
Ni 0.0000 0.5000 0.5000 x2

Properties
energy of formation: -0.21 eV/atom

---

3.
La2InBr | GGA-PBE | optimized geometry

a = 3.9122 Å, b = 3.9122 Å, c = 28.4329 Å
α = 90.00°, β = 90.00°, γ = 120.00°
Space group R3m (No. 160, hexagonal axes)
One atom of each set of equivalent atoms:
La 0.0000 0.0000 0.0000 x3
La 0.0000 0.0000 0.1643 x3
In 0.0000 0.0000 0.5819 x3
Br 0.0000 0.0000 0.4155 x3

Properties
offset from the most stable computed form: 44 meV/atom

---

| no. | energy (eV per atom) | M_tot (μB/cell) | V (Å³ per atom) |
| --- | --- | --- | --- |
| 1 | -5.16 | 0.00 | 17.82 |
| 2 | -4.66 | 0.00 | 29.62 |
| 3 | -4.41 | 0.00 | 31.41 |